DFT (PBE with a Hubbard U) results for a relaxed structure of Ca2YVO5.

Cell lengths 8.925, 8.925, 8.925 Å; angles 52.84, 142.66, 144.00 degrees
Positions (direct):
Ca  0.028  0.100  0.128
Ca  0.028  0.400  0.428
Ca  0.972  0.600  0.572
Ca  0.972  0.900  0.872
Y  0.490  0.784  0.206
Y  0.578  0.284  0.794
V  0.474  0.474  0.000
V  0.474  0.974  0.500
O  0.018  0.684  0.835
O  0.355  0.068  0.546
O  0.355  0.309  0.786
O  0.482  0.207  0.234
O  0.482  0.748  0.774
O  0.523  0.568  0.214
O  0.523  0.809  0.454
O  0.849  0.184  0.165
O  0.973  0.248  0.766
O  0.973  0.707  0.226

**DOS at the Fermi energy**: 0.000 states/eV/f.u.
**E_tot**: -7.5336 eV per atom
**Size of the total moment**: 0.222 μB/atom